1.
First-principles (GGA-PBE) data for BaHfS2Cl after structural relaxation, as listed in the Alexandria database.

a = 5.7595 Å, b = 5.7595 Å, c = 5.5206 Å
α = 90.00°, β = 90.00°, γ = 90.00°
Last column: nearest neighbours and their distance in Å.
Space group P4/mmm (No. 123)
Symmetry-distinct sites (fractional):
Ba 0.0000 0.0000 0.0000 (multiplicity 1)  2 Cl 2.76, 4 S 2.88
Hf 0.5000 0.5000 0.5000 (multiplicity 1)  8 S 3.99, 4 Cl 4.07
S 0.0000 0.5000 0.0000 (multiplicity 2)  2 Ba 2.88
Cl 0.0000 0.0000 0.5000 (multiplicity 1)  2 Ba 2.76

2.
First-principles (GGA-PBE) data for BaHfS2Cl after structural relaxation, as listed in the Alexandria database.

a = 5.0231 Å, b = 5.0231 Å, c = 4.9682 Å
α = 90.00°, β = 90.00°, γ = 90.00°
Last column: nearest neighbours and their distance in Å.
Space group P4/mmm (No. 123)
Symmetry-distinct sites (fractional):
Ba 0.0000 0.0000 0.0000 (multiplicity 1)  8 S 3.53, 4 Cl 3.55
Hf 0.5000 0.5000 0.5000 (multiplicity 1)  2 Cl 2.48, 4 S 2.51
S 0.0000 0.5000 0.5000 (multiplicity 2)  2 Hf 2.51
Cl 0.5000 0.5000 0.0000 (multiplicity 1)  2 Hf 2.48

| no. | electronic total energy (eV/atom) | N(E_F) (states/eV/atom) | raw formation energy (eV per formula unit) |
| --- | --- | --- | --- |
| 1 | -4.0366 | 1.616 | 1.79 |
| 2 | -6.1287 | 0.428 | -8.67 |